(1)
An optimized crystal structure of HoGaCu. Source: the Alexandria database, functional GGA-PBE.

a b c (Å): 3.242 3.242 5.794
angles (deg): 106.25 106.25 90.00
Fractional positions:
Ga  0.642  0.642  0.284
Ho  0.946  0.946  0.892
Cu  0.262  0.262  0.524

Calculated values
D(E_F) = 2.31 states/eV/f.u.



(2)
An optimized crystal structure of Ho5Ga4Cu. Source: the Alexandria database, functional GGA-PBE.

a b c (Å): 3.512 3.512 17.979
angles (deg): 90.00 90.00 90.00
Fractional positions:
Ho  0.500  0.500  0.095
Ho  0.500  0.500  0.298
Ho  0.500  0.500  0.500
Ho  0.500  0.500  0.702
Ho  0.500  0.500  0.905
Ga  0.000  0.000  0.196
Ga  0.000  0.000  0.399
Ga  0.000  0.000  0.601
Ga  0.000  0.000  0.804
Cu  0.000  0.000  0.000

Calculated values
D(E_F) = 6.67 states/eV/f.u.



(3)
An optimized crystal structure of HoGa2Cu9. Source: the Alexandria database, functional GGA-PBE.

a b c (Å): 4.964 4.964 8.460
angles (deg): 72.94 72.94 60.00
Fractional positions:
Ho  0.000  0.000  0.000
Ga  0.858  0.858  0.426
Ga  0.142  0.142  0.574
Cu  0.666  0.666  0.002
Cu  0.334  0.334  0.998
Cu  0.500  0.500  0.500
Cu  0.411  0.411  0.258
Cu  0.919  0.411  0.258
Cu  0.411  0.919  0.258
Cu  0.589  0.589  0.742
Cu  0.589  0.081  0.742
Cu  0.081  0.589  0.742

Calculated values
D(E_F) = 4.71 states/eV/f.u.



(4)
An optimized crystal structure of Ho2Ga3Cu6. Source: the Alexandria database, functional GGA-PBE.

a b c (Å): 4.208 7.028 7.028
angles (deg): 120.00 90.00 90.00
Fractional positions:
Ho  0.000  0.667  0.333
Ho  0.000  0.333  0.667
Ga  0.500  0.408  0.408
Ga  0.500  0.592  0.000
Ga  0.500  0.000  0.592
Cu  0.500  0.760  0.760
Cu  0.500  0.000  0.240
Cu  0.000  0.204  0.204
Cu  0.000  0.796  0.000
Cu  0.500  0.240  0.000
Cu  0.000  0.000  0.796

Calculated values
D(E_F) = 6.29 states/eV/f.u.



(5)
An optimized crystal structure of HoGaCu. Source: the Alexandria database, functional GGA-PBE.

a b c (Å): 4.241 4.241 6.500
angles (deg): 90.00 90.02 90.00
Fractional positions:
Cu  0.250  0.250  0.500
Cu  0.750  0.750  0.500
Ga  0.750  0.250  0.285
Ga  0.250  0.750  0.715
Ho  0.750  0.250  0.815
Ho  0.250  0.750  0.185

Calculated values
D(E_F) = 2.30 states/eV/f.u.



(6)
An optimized crystal structure of Ho2Ga5Cu5. Source: the Alexandria database, functional GGA-PBE.

a b c (Å): 4.040 5.230 9.293
angles (deg): 90.00 90.00 90.00
Fractional positions:
Ho  0.000  0.500  0.000
Ho  0.000  0.000  0.500
Ga  0.000  0.500  0.333
Ga  0.000  0.000  0.815
Ga  0.000  0.000  0.185
Ga  0.000  0.500  0.667
Ga  0.500  0.000  0.000
Cu  0.500  0.500  0.500
Cu  0.500  0.747  0.251
Cu  0.500  0.253  0.749
Cu  0.500  0.253  0.251
Cu  0.500  0.747  0.749

Calculated values
D(E_F) = 4.34 states/eV/f.u.



(7)
An optimized crystal structure of Ho3GaCu8. Source: the Alexandria database, functional GGA-PBE.

a b c (Å): 5.139 5.139 8.929
angles (deg): 73.27 73.27 60.00
Fractional positions:
Ho  0.379  0.379  0.863
Ho  0.992  0.992  0.023
Ho  0.506  0.506  0.483
Ga  0.868  0.868  0.396
Cu  0.943  0.435  0.187
Cu  0.439  0.938  0.684
Cu  0.435  0.435  0.187
Cu  0.938  0.938  0.684
Cu  0.189  0.189  0.434
Cu  0.687  0.687  0.938
Cu  0.435  0.943  0.187
Cu  0.938  0.439  0.684

Calculated values
D(E_F) = 7.91 states/eV/f.u.



(8)
An optimized crystal structure of HoGa4Cu12. Source: the Alexandria database, functional GGA-PBE.

a b c (Å): 7.140 7.140 7.140
angles (deg): 109.47 109.47 109.47
Fractional positions:
Ho  0.000  0.000  0.000
Ga  0.000  0.500  0.000
Ga  0.500  0.000  0.000
Ga  0.500  0.500  0.500
Ga  0.000  0.000  0.500
Cu  0.853  0.355  0.207
Cu  0.355  0.502  0.147
Cu  0.793  0.147  0.645
Cu  0.355  0.207  0.853
Cu  0.207  0.853  0.355
Cu  0.645  0.498  0.853
Cu  0.502  0.147  0.355
Cu  0.498  0.853  0.645
Cu  0.645  0.793  0.147
Cu  0.853  0.645  0.498
Cu  0.147  0.355  0.502
Cu  0.147  0.645  0.793

Calculated values
D(E_F) = 9.33 states/eV/f.u.



(9)
An optimized crystal structure of Ho2GaCu6. Source: the Alexandria database, functional GGA-PBE.

a b c (Å): 5.563 5.477 5.478
angles (deg): 119.99 89.99 90.00
Fractional positions:
Ho  0.845  0.667  0.333
Ho  0.155  0.333  0.667
Ga  0.000  0.000  0.000
Cu  0.338  0.361  0.181
Cu  0.338  0.819  0.639
Cu  0.338  0.820  0.181
Cu  0.662  0.639  0.819
Cu  0.662  0.181  0.361
Cu  0.662  0.180  0.819

Calculated values
D(E_F) = 5.08 states/eV/f.u.



(10)
An optimized crystal structure of Ho6Ga2Cu. Source: the Alexandria database, functional GGA-PBE.

a b c (Å): 4.874 6.951 8.476
angles (deg): 114.21 106.72 90.00
Fractional positions:
Ho  0.164  0.409  0.327
Ho  0.836  0.081  0.673
Ho  0.836  0.591  0.673
Ho  0.500  0.242  0.000
Ho  0.164  0.919  0.327
Ho  0.500  0.758  0.000
Ga  0.667  0.667  0.334
Ga  0.333  0.333  0.666
Cu  0.000  0.000  0.000

Calculated values
D(E_F) = 9.80 states/eV/f.u.



(11)
An optimized crystal structure of HoGaCu. Source: the Alexandria database, functional GGA-PBE.

a b c (Å): 4.219 4.588 6.194
angles (deg): 90.00 110.04 90.00
Fractional positions:
Ho  0.902  0.250  0.800
Ho  0.098  0.750  0.200
Ga  0.615  0.250  0.230
Ga  0.385  0.750  0.770
Cu  0.239  0.250  0.475
Cu  0.761  0.750  0.525

Calculated values
D(E_F) = 1.72 states/eV/f.u.



(12)
An optimized crystal structure of Ho3Ga3Cu2. Source: the Alexandria database, functional GGA-PBE.

a b c (Å): 4.314 5.584 14.433
angles (deg): 90.00 90.00 112.72
Fractional positions:
Ho  0.905  0.809  0.392
Ho  0.095  0.191  0.892
Ho  0.905  0.809  0.108
Ho  0.095  0.191  0.608
Ho  0.628  0.257  0.250
Ho  0.372  0.743  0.750
Ga  0.615  0.231  0.461
Ga  0.385  0.769  0.961
Ga  0.615  0.231  0.039
Ga  0.385  0.769  0.539
Ga  0.337  0.674  0.250
Ga  0.663  0.326  0.750
Cu  0.799  0.599  0.900
Cu  0.201  0.401  0.400
Cu  0.799  0.599  0.600
Cu  0.201  0.401  0.100

Calculated values
D(E_F) = 5.19 states/eV/f.u.



(13)
An optimized crystal structure of Ho2GaCu. Source: the Alexandria database, functional GGA-PBE.

a b c (Å): 3.412 3.412 10.182
angles (deg): 80.35 80.35 60.00
Fractional positions:
Cu  0.000  0.000  0.000
Ho  0.093  0.093  0.721
Ho  0.907  0.907  0.279
Ga  0.500  0.500  0.500

Calculated values
D(E_F) = 2.40 states/eV/f.u.



(14)
An optimized crystal structure of Ho3Ga6Cu5. Source: the Alexandria database, functional GGA-PBE.

a b c (Å): 4.215 9.095 12.438
angles (deg): 90.00 90.00 90.00
Fractional positions:
Ho  0.000  0.250  0.704
Ho  0.500  0.750  0.204
Ho  0.500  0.750  0.796
Ho  0.000  0.252  0.000
Ho  0.500  0.748  0.500
Ho  0.000  0.250  0.296
Ga  0.000  0.975  0.851
Ga  0.500  0.025  0.649
Ga  0.500  0.395  0.834
Ga  0.500  0.573  0.000
Ga  0.000  0.427  0.500
Ga  0.000  0.605  0.666
Ga  0.000  0.605  0.334
Ga  0.500  0.946  0.000
Ga  0.000  0.975  0.149
Ga  0.500  0.395  0.166
Ga  0.000  0.054  0.500
Ga  0.500  0.025  0.351
Cu  0.000  0.533  0.872
Cu  0.000  0.878  0.655
Cu  0.000  0.763  0.000
Cu  0.500  0.467  0.628
Cu  0.500  0.237  0.500
Cu  0.000  0.533  0.128
Cu  0.500  0.467  0.372
Cu  0.000  0.878  0.345
Cu  0.500  0.122  0.845
Cu  0.500  0.122  0.155

Calculated values
D(E_F) = 7.06 states/eV/f.u.



(15)
An optimized crystal structure of Ho4Ga3Cu. Source: the Alexandria database, functional GGA-PBE.

a b c (Å): 3.997 4.219 10.947
angles (deg): 90.00 90.00 90.00
Fractional positions:
Ho  0.500  0.500  0.350
Ho  0.000  0.500  0.864
Ho  0.000  0.000  0.141
Ho  0.500  0.000  0.647
Ga  0.000  0.500  0.575
Ga  0.000  0.000  0.424
Ga  0.500  0.000  0.926
Cu  0.500  0.500  0.072

Calculated values
D(E_F) = 7.00 states/eV/f.u.



(16)
An optimized crystal structure of Ho3GaCu. Source: the Alexandria database, functional GGA-PBE.

a b c (Å): 6.836 8.275 8.959
angles (deg): 89.52 90.00 90.00
Fractional positions:
Ho  0.001  0.828  0.361
Ho  0.999  0.172  0.639
Ho  0.501  0.172  0.139
Ho  0.499  0.828  0.861
Ho  0.513  0.825  0.388
Ho  0.487  0.175  0.612
Ho  0.013  0.175  0.112
Ho  0.987  0.825  0.888
Ho  0.229  0.554  0.626
Ho  0.771  0.446  0.374
Ho  0.729  0.446  0.874
Ho  0.271  0.554  0.126
Ga  0.719  0.680  0.125
Ga  0.281  0.320  0.875
Ga  0.219  0.320  0.375
Ga  0.781  0.680  0.625
Cu  0.231  0.894  0.624
Cu  0.769  0.106  0.376
Cu  0.731  0.106  0.876
Cu  0.269  0.894  0.124

Calculated values
D(E_F) = 4.80 states/eV/f.u.



(17)
An optimized crystal structure of HoGa2Cu3. Source: the Alexandria database, functional GGA-PBE.

a b c (Å): 4.163 4.163 13.011
angles (deg): 90.00 90.00 120.00
Fractional positions:
Ho  0.000  0.000  0.250
Ho  0.000  0.000  0.750
Ga  0.667  0.333  0.389
Ga  0.333  0.667  0.611
Ga  0.333  0.667  0.889
Ga  0.667  0.333  0.111
Cu  0.000  0.000  0.500
Cu  0.000  0.000  0.000
Cu  0.667  0.333  0.585
Cu  0.333  0.667  0.085
Cu  0.667  0.333  0.915
Cu  0.333  0.667  0.415

Calculated values
D(E_F) = 3.68 states/eV/f.u.



(18)
An optimized crystal structure of Ho2Ga3Cu5. Source: the Alexandria database, functional GGA-PBE.

a b c (Å): 5.723 8.213 8.213
angles (deg): 77.51 69.61 69.61
Fractional positions:
Ho  0.126  0.610  0.137
Ho  0.626  0.137  0.610
Ho  0.874  0.390  0.863
Ho  0.374  0.863  0.390
Ga  0.366  0.512  0.755
Ga  0.866  0.755  0.512
Ga  0.634  0.488  0.245
Ga  0.134  0.245  0.488
Ga  0.250  0.000  0.000
Ga  0.750  0.000  0.000
Cu  0.383  0.265  0.969
Cu  0.883  0.969  0.265
Cu  0.617  0.735  0.031
Cu  0.117  0.031  0.735
Cu  0.482  0.768  0.768
Cu  0.518  0.232  0.232
Cu  0.750  0.500  0.500
Cu  0.250  0.500  0.500
Cu  0.018  0.232  0.232
Cu  0.982  0.768  0.768

Calculated values
D(E_F) = 4.99 states/eV/f.u.



(19)
An optimized crystal structure of Ho3GaCu4. Source: the Alexandria database, functional GGA-PBE.

a b c (Å): 3.741 5.416 8.808
angles (deg): 107.91 102.26 90.00
Fractional positions:
Ho  0.215  0.215  0.431
Ho  0.785  0.785  0.569
Ho  0.000  0.500  0.000
Ga  0.500  0.000  0.000
Cu  0.379  0.606  0.757
Cu  0.621  0.394  0.243
Cu  0.621  0.848  0.243
Cu  0.379  0.152  0.757

Calculated values
D(E_F) = 4.58 states/eV/f.u.



(20)
An optimized crystal structure of Ho3Ga2Cu. Source: the Alexandria database, functional GGA-PBE.

a b c (Å): 3.422 3.422 11.217
angles (deg): 90.00 90.00 90.00
Fractional positions:
Ho  0.000  0.000  0.000
Ho  0.000  0.000  0.656
Ho  0.000  0.000  0.344
Ga  0.500  0.500  0.826
Ga  0.500  0.500  0.174
Cu  0.500  0.500  0.500

Calculated values
D(E_F) = 2.50 states/eV/f.u.



(21)
An optimized crystal structure of HoGa3Cu4. Source: the Alexandria database, functional GGA-PBE.

a b c (Å): 4.057 4.057 7.990
angles (deg): 90.00 90.00 90.00
Fractional positions:
Ho  0.000  0.000  0.500
Ga  0.000  0.000  0.000
Ga  0.500  0.500  0.344
Ga  0.500  0.500  0.656
Cu  0.500  0.000  0.175
Cu  0.000  0.500  0.175
Cu  0.500  0.000  0.825
Cu  0.000  0.500  0.825

Calculated values
D(E_F) = 4.34 states/eV/f.u.



Number 1: total DFT energy (no corrections) -4.169 eV per atom. Number 2: total DFT energy (no corrections) -4.420 eV per atom. Number 3: total DFT energy (no corrections) -4.079 eV per atom. Number 4: total DFT energy (no corrections) -4.172 eV per atom. Number 5: total DFT energy (no corrections) -4.375 eV per atom. Number 6: total DFT energy (no corrections) -4.048 eV per atom. Number 7: total DFT energy (no corrections) -4.348 eV per atom. Number 8: total DFT energy (no corrections) -3.569 eV per atom. Number 9: total DFT energy (no corrections) -4.336 eV per atom. Number 10: total DFT energy (no corrections) -4.328 eV per atom. Number 11: total DFT energy (no corrections) -4.299 eV per atom. Number 12: total DFT energy (no corrections) -4.416 eV per atom. Number 13: total DFT energy (no corrections) -3.861 eV per atom. Number 14: total DFT energy (no corrections) -4.177 eV per atom. Number 15: total DFT energy (no corrections) -4.442 eV per atom. Number 16: total DFT energy (no corrections) -4.408 eV per atom. Number 17: total DFT energy (no corrections) -4.142 eV per atom. Number 18: total DFT energy (no corrections) -4.219 eV per atom. Number 19: total DFT energy (no corrections) -4.255 eV per atom. Number 20: total DFT energy (no corrections) -4.452 eV per atom. Number 21: total DFT energy (no corrections) -3.961 eV per atom.